Density functional theory data (GGA+U) for a relaxed structure of VBHF2.

Calculated values
Total magnetic moment: 0.70 μB per cell
Uncorrected energy: -4.072 eV per atom
Volume: 9.23 A^3/atom

a b c (Å): 4.0625 4.0625 2.7960
angles (deg): 90.00 90.00 90.00
Closest atoms and distances in Å follow each position.
Space group P4/mmm (No. 123)
Unique sites:
1 V 0.0000 0.0000 0.0000  8 F 2.47
2 B 0.5000 0.5000 0.0000  2 H 1.40
3 H 0.5000 0.5000 0.5000  2 B 1.40
4 F 0.0000 0.5000 0.5000  2 H 2.03